VASP calculation (PBEsol) on an optimized crystal structure of BaCa2HgRu.

a b c (Å): 5.236 5.567 5.567
angles (deg): 90.00 90.00 90.00
Fractional positions:
1 Ru 0.500 0.000 0.000
2 Ca 0.000 0.000 0.500
3 Ca 0.000 0.500 0.000
4 Hg 0.000 0.000 0.000
5 Ba 0.500 0.500 0.500

Properties
Calculated total energy (eV for the cell shown): -14.866
Mass density (g/cm3): 5.31